(1)
{
  "formula": "TbPr4SmEr2",
  "functional": "PBE",
  "state": "relaxed",
  "cell": [[5.1573, 0.0000, 0.0000], [0.0000, 5.1845, 0.0000], [0.0000, 0.0000, 10.1237]],
  "species": ["Tb", "Pr", "Pr", "Pr", "Pr", "Sm", "Er", "Er"],
  "fractional_positions": [[0.0000, 0.0000, 0.0000], [0.0000, 0.5000, 0.2486], [0.0000, 0.5000, 0.7514], [0.5000, 0.0000, 0.2494], [0.5000, 0.0000, 0.7506], [0.5000, 0.5000, 0.5000], [0.0000, 0.0000, 0.5000], [0.5000, 0.5000, 0.0000]],
  "delta_e_f_ev_per_atom": 0.016,
  "sg": "Pmmm, No. 47"
}

(2)
{
  "formula": "Li2Bi2Te",
  "functional": "PBE",
  "state": "relaxed",
  "cell": [[7.4615, 0.0000, 0.0000], [0.0000, 7.4615, 0.0000], [0.0000, 0.0000, 4.7005]],
  "species": ["Li", "Li", "Li", "Li", "Bi", "Bi", "Bi", "Bi", "Te", "Te"],
  "fractional_positions": [[0.1488, 0.3512, 0.0000], [0.3512, 0.8512, 0.0000], [0.6488, 0.1488, 0.0000], [0.8512, 0.6488, 0.0000], [0.1408, 0.6408, 0.5000], [0.3592, 0.1408, 0.5000], [0.6408, 0.8592, 0.5000], [0.8592, 0.3592, 0.5000], [0.0000, 0.0000, 0.0000], [0.5000, 0.5000, 0.0000]],
  "de_polymorph_mev_per_atom": 0,
  "sg": "P4/mbm, No. 127",
  "raw_formation_energy_kj_per_mol_atoms": -26
}

(3)
{
  "formula": "Mg2IrAu",
  "functional": "PBE",
  "state": "relaxed",
  "cell": [[0.0000, 3.1949, 3.1949], [3.1949, 0.0000, 3.1949], [3.1949, 3.1949, 0.0000]],
  "species": ["Mg", "Mg", "Ir", "Au"],
  "fractional_positions": [[0.2500, 0.2500, 0.2500], [0.7500, 0.7500, 0.7500], [0.0000, 0.0000, 0.0000], [0.5000, 0.5000, 0.5000]],
  "delta_e_f_ev_per_atom": -0.434,
  "sg": "Fm-3m, No. 225"
}

(4)
{
  "formula": "ZnAgIr2",
  "functional": "PBE",
  "state": "relaxed",
  "cell": [[-1.4146, 2.3378, 4.6656], [1.4146, -2.3378, 4.6656], [1.4146, 2.3378, -4.6656]],
  "species": ["Zn", "Ag", "Ir", "Ir"],
  "fractional_positions": [[0.0000, 0.0000, 0.0000], [0.2560, 0.7560, 0.5000], [0.5260, 0.5260, 0.0000], [0.7595, 0.2595, 0.5000]],
  "delta_e_f_ev_per_atom": 0.250,
  "sg": "Imm2, No. 44"
}

(5)
{
  "formula": "Pr2Sm6Tm3Mg",
  "functional": "PBE",
  "state": "relaxed",
  "cell": [[3.0974, -5.3704, 0.0000], [3.0974, 5.3704, 0.0000], [-2.0788, 0.0000, 11.6423]],
  "species": ["Pr", "Pr", "Sm", "Sm", "Sm", "Sm", "Sm", "Sm", "Tm", "Tm", "Tm", "Mg"],
  "fractional_positions": [[0.1667, 0.8333, 0.0000], [0.8333, 0.1667, 0.0000], [0.0854, 0.4160, 0.7458], [0.2530, 0.2530, 0.2551], [0.4160, 0.0854, 0.7458], [0.5840, 0.9146, 0.2542], [0.7470, 0.7470, 0.7449], [0.9146, 0.5840, 0.2542], [0.0000, 0.0000, 0.5000], [0.3342, 0.6658, 0.5000], [0.6658, 0.3342, 0.5000], [0.5000, 0.5000, 0.0000]],
  "delta_e_f_ev_per_atom": 0.014,
  "sg": "C2/m, No. 12"
}

(6)
{
  "formula": "Gd2GaIr",
  "functional": "PBE",
  "state": "relaxed",
  "cell": [[3.5744, 0.0000, 0.0000], [0.0000, 3.5744, 0.0000], [0.0000, 0.0000, 6.9563]],
  "species": ["Gd", "Gd", "Ga", "Ir"],
  "fractional_positions": [[0.0000, 0.0000, 0.2338], [0.0000, 0.0000, 0.7662], [0.5000, 0.5000, 0.5000], [0.5000, 0.5000, 0.0000]],
  "delta_e_f_ev_per_atom": -0.679,
  "sg": "P4/mmm, No. 123"
}

Number 1: M_tot 0.000 μB per atom. Number 2: M_tot 0.000 μB per atom. Number 3: M_tot 0.000 μB per atom. Number 4: M_tot 0.000 μB per atom. Number 5: M_tot 0.000 μB per atom. Number 6: M_tot 3.535 μB per atom.